[1]
This record from Alexandria describes crystalline Fe3Sb at its relaxed geometry. The functional is PBE.

The magnetization is 6.85 μB/f.u. The value obtained for the total energy is -7.265 eV/atom.

It has space group I4/mmm (No. 139), with a = 3.7977 Å, b = 3.7977 Å, c = 15.2633 Å, α = 90.00°, β = 90.00° and γ = 90.00°. The distinct sites, in fractional coordinates, are Fe at (0.0000, 0.0000, 0.1177), Fe at (0.0000, 0.5000, 0.0000), Fe at (0.0000, 0.5000, 0.2500) and Sb at (0.0000, 0.0000, 0.3717).

[2]
This record from Alexandria describes crystalline ScFe2Sb2 at its relaxed geometry. The functional is PBE.

The polymorph energy (0 for the lowest one) is 0.00 eV/f.u. The magnetization is 0.00 μB/f.u. The value obtained for the total energy is -6.344 eV/atom.

It has space group I4/mmm (No. 139), with a = 4.1572 Å, b = 4.1572 Å, c = 10.7940 Å, α = 90.00°, β = 90.00° and γ = 90.00°. The distinct sites, in fractional coordinates, are Sc at (0.0000, 0.0000, 0.0000), Fe at (0.0000, 0.5000, 0.2500) and Sb at (0.0000, 0.0000, 0.3692).

[3]
This record from Alexandria describes crystalline ScFe2Sb at its relaxed geometry. The functional is PBE.

The magnetization is 4.55 μB/f.u. The value obtained for the total energy is -6.825 eV/atom.

It has space group P2/m (No. 10), with a = 3.1064 Å, b = 4.3692 Å, c = 5.2426 Å, α = 90.00°, β = 91.83° and γ = 90.00°. The distinct sites, in fractional coordinates, are Sc at (0.0000, 0.0000, 0.0000), Fe at (0.4109, 0.5000, 0.7820) and Sb at (0.5000, 0.0000, 0.5000).

[4]
This record from Alexandria describes crystalline ScFeSb2 at its relaxed geometry. The functional is PBE.

The polymorph energy (0 for the lowest one) is 0.26 eV/f.u. The magnetization is 0.00 μB/f.u. The value obtained for the total energy is -5.916 eV/atom.

It has space group P4mm (No. 99), with a = 3.1425 Å, b = 3.1425 Å, c = 8.6362 Å, α = 90.00°, β = 90.00° and γ = 90.00°. The distinct sites, in fractional coordinates, are Sc at (0.0000, 0.0000, 0.0000), Fe at (0.5000, 0.5000, 0.1928), Sb at (0.0000, 0.0000, 0.3621) and Sb at (0.5000, 0.5000, 0.7355).

[5]
This record from Alexandria describes crystalline ScFe2Sb2 at its relaxed geometry. The functional is PBE.

The polymorph energy (0 for the lowest one) is 0.25 eV/f.u. The magnetization is 1.18 μB/f.u. The value obtained for the total energy is -6.295 eV/atom.

It has space group I4/mmm (No. 139), with a = 4.6093 Å, b = 4.6093 Å, c = 8.6553 Å, α = 90.00°, β = 90.00° and γ = 90.00°. The distinct sites, in fractional coordinates, are Sc at (0.0000, 0.0000, 0.0000), Fe at (0.0000, 0.0000, 0.3767) and Sb at (0.0000, 0.5000, 0.2500).

[6]
This record from Alexandria describes crystalline ScFeSb2 at its relaxed geometry. The functional is PBE.

The polymorph energy (0 for the lowest one) is 0.15 eV/f.u. The magnetization is 2.54 μB/f.u. The value obtained for the total energy is -5.943 eV/atom.

It has space group Pm (No. 6), with a = 3.8337 Å, b = 4.2330 Å, c = 5.6375 Å, α = 90.00°, β = 109.74° and γ = 90.00°. The distinct sites, in fractional coordinates, are Sc at (0.0000, 0.0000, 0.0000), Fe at (0.1755, 0.5000, 0.3507), Sb at (0.4470, 0.5000, 0.8935) and Sb at (0.7200, 0.0000, 0.4407).

[7]
This record from Alexandria describes crystalline ScFeSb2 at its relaxed geometry. The functional is PBE.

The polymorph energy (0 for the lowest one) is 0.57 eV/f.u. The magnetization is 1.96 μB/f.u. The value obtained for the total energy is -5.838 eV/atom.

It has space group P4/mmm (No. 123), with a = 3.3351 Å, b = 3.3351 Å, c = 7.2246 Å, α = 90.00°, β = 90.00° and γ = 90.00°. The distinct sites, in fractional coordinates, are Sc at (0.0000, 0.0000, 0.0000), Fe at (0.0000, 0.0000, 0.5000) and Sb at (0.5000, 0.5000, 0.2807).

[8]
This record from Alexandria describes crystalline ScFeSb2 at its relaxed geometry. The functional is PBE.

The polymorph energy (0 for the lowest one) is 0.09 eV/f.u. The magnetization is 2.55 μB/f.u. The value obtained for the total energy is -5.958 eV/atom.

It has space group Cm (No. 8), with a = 10.3965 Å, b = 3.7854 Å, c = 4.4007 Å, α = 90.00°, β = 100.96° and γ = 90.00°. The distinct sites, in fractional coordinates, are Sc at (0.0000, 0.0000, 0.0000), Fe at (0.1852, 0.0000, 0.5674), Sb at (0.2260, 0.5000, 0.0719) and Sb at (0.4588, 0.0000, 0.4809).

[9]
This record from Alexandria describes crystalline ScFeSb2 at its relaxed geometry. The functional is PBE.

The polymorph energy (0 for the lowest one) is 1.34 eV/f.u. The magnetization is 1.67 μB/f.u. The value obtained for the total energy is -5.646 eV/atom.

It has space group I-42d (No. 122), with a = 4.4409 Å, b = 4.4409 Å, c = 18.7629 Å, α = 90.00°, β = 90.00° and γ = 90.00°. The distinct sites, in fractional coordinates, are Sc at (0.0000, 0.0000, 0.0000), Fe at (0.0000, 0.0000, 0.5000) and Sb at (0.2249, 0.2500, 0.6250).

[10]
This record from Alexandria describes crystalline ScFe2Sb at its relaxed geometry. The functional is PBE.

The magnetization is 3.58 μB/f.u. The value obtained for the total energy is -6.869 eV/atom.

It has space group P4/mmm (No. 123), with a = 3.3738 Å, b = 3.3738 Å, c = 5.7938 Å, α = 90.00°, β = 90.00° and γ = 90.00°. The distinct sites, in fractional coordinates, are Sc at (0.0000, 0.0000, 0.0000), Fe at (0.5000, 0.5000, 0.2694) and Sb at (0.0000, 0.0000, 0.5000).

[11]
This record from Alexandria describes crystalline ScFeSb2 at its relaxed geometry. The functional is PBE.

The polymorph energy (0 for the lowest one) is 0.45 eV/f.u. The magnetization is 1.74 μB/f.u. The value obtained for the total energy is -5.870 eV/atom.

It has space group P2/m (No. 10), with a = 3.4346 Å, b = 4.1385 Å, c = 5.9585 Å, α = 90.00°, β = 99.42° and γ = 90.00°. The distinct sites, in fractional coordinates, are Sc at (0.0000, 0.0000, 0.0000), Fe at (0.5000, 0.0000, 0.5000) and Sb at (0.3587, 0.5000, 0.7382).

[12]
This record from Alexandria describes crystalline ScFe2Sb at its relaxed geometry. The functional is PBE.

The magnetization is 4.67 μB/f.u. The value obtained for the total energy is -6.500 eV/atom.

It has space group I-42d (No. 122), with a = 7.2967 Å, b = 7.2967 Å, c = 5.5753 Å, α = 90.00°, β = 90.00° and γ = 90.00°. The distinct sites, in fractional coordinates, are Sc at (0.0000, 0.0000, 0.0000), Fe at (0.2358, 0.2500, 0.6250) and Sb at (0.0000, 0.0000, 0.5000).

[13]
This record from Alexandria describes crystalline ScFe4Sb12 at its relaxed geometry. The functional is PBE.

The magnetization is 1.10 μB/f.u. The value obtained for the total energy is -5.379 eV/atom.

It has space group Im-3 (No. 204), with a = 9.1509 Å, b = 9.1509 Å, c = 9.1509 Å, α = 90.00°, β = 90.00° and γ = 90.00°. The distinct sites, in fractional coordinates, are Sc at (0.0000, 0.0000, 0.0000), Fe at (0.2500, 0.2500, 0.2500) and Sb at (0.0000, 0.3307, 0.1608).

[14]
This record from Alexandria describes crystalline ScFeSb2 at its relaxed geometry. The functional is PBE.

The polymorph energy (0 for the lowest one) is 1.47 eV/f.u. The magnetization is 1.81 μB/f.u. The value obtained for the total energy is -5.614 eV/atom.

It has space group F-43m (No. 216), with a = 6.9877 Å, b = 6.9877 Å, c = 6.9877 Å, α = 90.00°, β = 90.00° and γ = 90.00°. The distinct sites, in fractional coordinates, are Sc at (0.0000, 0.0000, 0.0000), Fe at (0.2500, 0.2500, 0.7500), Sb at (0.0000, 0.0000, 0.5000) and Sb at (0.2500, 0.2500, 0.2500).

[15]
This record from Alexandria describes crystalline ScFeSb2 at its relaxed geometry. The functional is PBE.

The polymorph energy (0 for the lowest one) is 0.40 eV/f.u. The magnetization is 1.67 μB/f.u. The value obtained for the total energy is -5.881 eV/atom.

It has space group Cmmm (No. 65), with a = 4.2553 Å, b = 5.3556 Å, c = 7.1246 Å, α = 90.00°, β = 90.00° and γ = 90.00°. The distinct sites, in fractional coordinates, are Sc at (0.0000, 0.0000, 0.0000), Fe at (0.0000, 0.0000, 0.5000) and Sb at (0.0000, 0.5000, 0.2801).

[16]
This record from Alexandria describes crystalline ScFeSb3 at its relaxed geometry. The functional is PBE.

The polymorph energy (0 for the lowest one) is 2.52 eV/f.u. The magnetization is 3.52 μB/f.u. The value obtained for the total energy is -4.668 eV/atom.

It has space group Pm-3m (No. 221), with a = 5.4081 Å, b = 5.4081 Å, c = 5.4081 Å, α = 90.00°, β = 90.00° and γ = 90.00°. The distinct sites, in fractional coordinates, are Sc at (0.0000, 0.0000, 0.0000), Fe at (0.5000, 0.5000, 0.5000) and Sb at (0.0000, 0.0000, 0.5000).

[17]
This record from Alexandria describes crystalline ScFe2Sb at its relaxed geometry. The functional is PBE.

The magnetization is 4.60 μB/f.u. The value obtained for the total energy is -6.883 eV/atom.

It has space group F-43m (No. 216), with a = 6.3944 Å, b = 6.3944 Å, c = 6.3944 Å, α = 90.00°, β = 90.00° and γ = 90.00°. The distinct sites, in fractional coordinates, are Sc at (0.0000, 0.0000, 0.0000), Fe at (0.0000, 0.0000, 0.5000), Fe at (0.2500, 0.2500, 0.7500) and Sb at (0.2500, 0.2500, 0.2500).

[18]
This record from Alexandria describes crystalline ScFeSb2 at its relaxed geometry. The functional is PBE.

The polymorph energy (0 for the lowest one) is 0.38 eV/f.u. The magnetization is 2.41 μB/f.u. The value obtained for the total energy is -5.885 eV/atom.

It has space group Cmmm (No. 65), with a = 6.5155 Å, b = 6.6093 Å, c = 3.8005 Å, α = 90.00°, β = 90.00° and γ = 90.00°. The distinct sites, in fractional coordinates, are Sc at (0.0000, 0.0000, 0.0000), Fe at (0.0000, 0.5000, 0.0000) and Sb at (0.2500, 0.2500, 0.5000).

[19]
This record from Alexandria describes crystalline Sc12Fe6Sb at its relaxed geometry. The functional is PBE.

The magnetization is 4.65 μB/f.u. The value obtained for the total energy is -7.096 eV/atom.

It has space group Im-3 (No. 204), with a = 9.0300 Å, b = 9.0300 Å, c = 9.0300 Å, α = 90.00°, β = 90.00° and γ = 90.00°. The distinct sites, in fractional coordinates, are Sc at (0.0000, 0.1981, 0.2964), Fe at (0.0000, 0.3828, 0.5000) and Sb at (0.0000, 0.0000, 0.0000).

[20]
This record from Alexandria describes crystalline ScFeSb2 at its relaxed geometry. The functional is PBE.

The polymorph energy (0 for the lowest one) is 0.95 eV/f.u. The magnetization is 1.18 μB/f.u. The value obtained for the total energy is -5.742 eV/atom.

It has space group R3m (No. 160, hexagonal axes), with a = 3.3639 Å, b = 3.3639 Å, c = 26.8447 Å, α = 90.00°, β = 90.00° and γ = 120.00°. The distinct sites, in fractional coordinates, are Sc at (0.0000, 0.0000, 0.0000), Fe at (0.0000, 0.0000, 0.2614), Sb at (0.0000, 0.0000, 0.5313) and Sb at (0.0000, 0.0000, 0.7558).

[21]
This record from Alexandria describes crystalline ScFe2Sb at its relaxed geometry. The functional is PBE.

The magnetization is 4.37 μB/f.u. The value obtained for the total energy is -6.875 eV/atom.

It has space group P4mm (No. 99), with a = 3.1982 Å, b = 3.1982 Å, c = 6.6938 Å, α = 90.00°, β = 90.00° and γ = 90.00°. The distinct sites, in fractional coordinates, are Sc at (0.0000, 0.0000, 0.0000), Fe at (0.0000, 0.0000, 0.4253), Fe at (0.5000, 0.5000, 0.2473) and Sb at (0.5000, 0.5000, 0.6596).

[22]
This record from Alexandria describes crystalline ScFeSb2 at its relaxed geometry. The functional is PBE.

The polymorph energy (0 for the lowest one) is 0.06 eV/f.u. The magnetization is 0.66 μB/f.u. The value obtained for the total energy is -5.967 eV/atom.

It has space group R-3m (No. 166, hexagonal axes), with a = 4.0194 Å, b = 4.0194 Å, c = 17.9196 Å, α = 90.00°, β = 90.00° and γ = 120.00°. The distinct sites, in fractional coordinates, are Sc at (0.0000, 0.0000, 0.0000), Fe at (0.0000, 0.0000, 0.5000) and Sb at (0.0000, 0.0000, 0.2337).

[23]
This record from Alexandria describes crystalline ScFe2Sb at its relaxed geometry. The functional is PBE.

The magnetization is 4.26 μB/f.u. The value obtained for the total energy is -6.887 eV/atom.

It has space group Pm (No. 6), with a = 3.1577 Å, b = 4.2694 Å, c = 5.1990 Å, α = 90.00°, β = 102.46° and γ = 90.00°. The distinct sites, in fractional coordinates, are Sc at (0.0000, 0.0000, 0.0000), Fe at (0.4683, 0.0000, 0.4500), Fe at (0.6922, 0.5000, 0.2759) and Sb at (0.3863, 0.5000, 0.7233).

[24]
This record from Alexandria describes crystalline Sc6Fe2Sb at its relaxed geometry. The functional is PBE.

The polymorph energy (0 for the lowest one) is 1.64 eV/f.u. The magnetization is 2.51 μB/f.u. The value obtained for the total energy is -6.724 eV/atom.

It has space group P-62m (No. 189), with a = 7.4862 Å, b = 7.4862 Å, c = 3.8845 Å, α = 90.00°, β = 90.00° and γ = 120.00°. The distinct sites, in fractional coordinates, are Sc at (0.0000, 0.4027, 0.0000), Sc at (0.0000, 0.7129, 0.5000), Fe at (0.3333, 0.6667, 0.5000) and Sb at (0.0000, 0.0000, 0.0000).

[25]
This record from Alexandria describes crystalline ScFe2Sb at its relaxed geometry. The functional is PBE.

The magnetization is 2.36 μB/f.u. The value obtained for the total energy is -7.000 eV/atom.

It has space group R3m (No. 160, hexagonal axes), with a = 3.9977 Å, b = 3.9977 Å, c = 15.2223 Å, α = 90.00°, β = 90.00° and γ = 120.00°. The distinct sites, in fractional coordinates, are Sc at (0.0000, 0.0000, 0.0000), Fe at (0.0000, 0.0000, 0.2211), Fe at (0.0000, 0.0000, 0.5502) and Sb at (0.0000, 0.0000, 0.7976).

[26]
This record from Alexandria describes crystalline ScFeSb2 at its relaxed geometry. The functional is PBE.

The polymorph energy (0 for the lowest one) is 0.00 eV/f.u. The magnetization is 0.82 μB/f.u. The value obtained for the total energy is -5.981 eV/atom.

It has space group Imm2 (No. 44), with a = 3.2156 Å, b = 4.0407 Å, c = 12.7409 Å, α = 90.00°, β = 90.00° and γ = 90.00°. The distinct sites, in fractional coordinates, are Sc at (0.0000, 0.0000, 0.0000), Fe at (0.0000, 0.5000, 0.7234), Sb at (0.0000, 0.0000, 0.3861) and Sb at (0.0000, 0.5000, 0.1632).

[27]
This record from Alexandria describes crystalline ScFe2Sb6 at its relaxed geometry. The functional is PBE.

The magnetization is 4.09 μB/f.u. The value obtained for the total energy is -5.260 eV/atom.

It has space group P-62m (No. 189), with a = 7.6800 Å, b = 7.6800 Å, c = 3.9014 Å, α = 90.00°, β = 90.00° and γ = 120.00°. The distinct sites, in fractional coordinates, are Sc at (0.0000, 0.0000, 0.0000), Fe at (0.3333, 0.6667, 0.5000), Sb at (0.0000, 0.3989, 0.0000) and Sb at (0.0000, 0.7067, 0.5000).